Record 1
Material: Mg3AlIn2
Method: DFT, GGA-PBE
State: optimized geometry

```
Mg3AlIn2
1.0
-2.993 7.481 3.131
2.993 -7.481 3.131
2.993 7.481 -3.131
Mg Al In
6 2 4
Direct
0.170 0.239 0.409 Mg
0.250 0.250 0.000 Mg
0.330 0.739 0.068 Mg
0.670 0.261 0.932 Mg
0.750 0.750 0.000 Mg
0.830 0.761 0.591 Mg
0.250 0.750 0.500 Al
0.750 0.250 0.500 Al
0.134 0.733 0.868 In
0.366 0.233 0.599 In
0.634 0.767 0.401 In
0.866 0.267 0.132 In
```

Calculated values
magnetization: 0.0 μB/f.u.
excess energy over the best structure of this formula in the dataset: 36 meV per atom
space group: Ibam, No. 72



Record 2
Material: Mg3AlIn
Method: DFT, GGA-PBE
State: optimized geometry

```
Mg3AlIn
1.0
5.198 0.000 0.000
0.000 5.198 0.000
0.000 0.000 5.198
Mg Al In
3 1 1
Direct
0.000 0.000 0.500 Mg
0.000 0.500 0.000 Mg
0.500 0.000 0.000 Mg
0.000 0.000 0.000 Al
0.500 0.500 0.500 In
```

Calculated values
magnetization: 0.0 μB/f.u.
excess energy over the best structure of this formula in the dataset: 361 meV per atom
space group: Pm-3m, No. 221



Record 3
Material: Mg3AlIn
Method: DFT, GGA-PBE
State: optimized geometry

```
Mg3AlIn
1.0
5.306 0.000 0.000
0.000 5.306 0.000
0.000 0.000 5.306
Mg Al In
3 1 1
Direct
0.000 0.000 0.500 Mg
0.000 0.500 0.000 Mg
0.500 0.000 0.000 Mg
0.500 0.500 0.500 Al
0.000 0.000 0.000 In
```

Calculated values
magnetization: 0.0 μB/f.u.
excess energy over the best structure of this formula in the dataset: 543 meV per atom
space group: Pm-3m, No. 221



Record 4
Material: MgAl2In
Method: DFT, GGA-PBE
State: optimized geometry

```
MgAl2In
1.0
4.182 0.000 0.000
0.000 4.182 0.000
0.000 0.000 9.266
Mg Al In
2 4 2
Direct
0.000 0.000 0.000 Mg
0.500 0.500 0.500 Mg
0.000 0.500 0.250 Al
0.000 0.500 0.750 Al
0.500 0.000 0.250 Al
0.500 0.000 0.750 Al
0.000 0.000 0.500 In
0.500 0.500 0.000 In
```

Calculated values
magnetization: 0.0 μB/f.u.
space group: I4/mmm, No. 139



Record 5
Material: Mg4AlIn3
Method: DFT, GGA-PBE
State: optimized geometry

```
Mg4AlIn3
1.0
3.618 0.000 0.000
0.000 3.618 0.000
0.000 0.000 13.842
Mg Al In
4 1 3
Direct
0.000 0.000 0.113 Mg
0.000 0.000 0.370 Mg
0.000 0.000 0.630 Mg
0.000 0.000 0.887 Mg
0.500 0.500 0.000 Al
0.500 0.500 0.240 In
0.500 0.500 0.500 In
0.500 0.500 0.760 In
```

Calculated values
magnetization: 0.0 μB/f.u.
space group: P4/mmm, No. 123



Record 6
Material: Mg3AlIn2
Method: DFT, GGA-PBE
State: optimized geometry

```
Mg3AlIn2
1.0
4.463 0.000 0.000
0.000 13.600 0.000
0.000 0.000 4.347
Mg Al In
6 2 4
Direct
0.000 0.000 0.000 Mg
0.000 0.337 0.000 Mg
0.000 0.663 0.000 Mg
0.500 0.163 0.000 Mg
0.500 0.500 0.000 Mg
0.500 0.837 0.000 Mg
0.000 0.500 0.500 Al
0.500 0.000 0.500 Al
0.000 0.161 0.500 In
0.000 0.839 0.500 In
0.500 0.339 0.500 In
0.500 0.661 0.500 In
```

Calculated values
magnetization: 0.0 μB/f.u.
excess energy over the best structure of this formula in the dataset: 0 meV per atom
space group: Cmmm, No. 65



Record 7
Material: MgAl2In2
Method: DFT, GGA-PBE
State: optimized geometry

```
MgAl2In2
1.0
4.521 0.000 0.000
0.000 4.521 0.000
0.000 0.000 11.910
Mg Al In
2 4 4
Direct
0.000 0.000 0.000 Mg
0.500 0.500 0.500 Mg
0.000 0.000 0.395 Al
0.000 0.000 0.605 Al
0.500 0.500 0.105 Al
0.500 0.500 0.895 Al
0.000 0.500 0.250 In
0.000 0.500 0.750 In
0.500 0.000 0.250 In
0.500 0.000 0.750 In
```

Calculated values
magnetization: 0.0 μB/f.u.
excess energy over the best structure of this formula in the dataset: 39 meV per atom
space group: I4/mmm, No. 139



Record 8
Material: MgAl2In
Method: DFT, GGA-PBE
State: optimized geometry

```
MgAl2In
1.0
3.215 0.000 0.000
0.000 4.399 0.000
0.000 0.000 5.861
Mg Al In
1 2 1
Direct
0.000 0.000 0.000 Mg
0.500 0.500 0.242 Al
0.500 0.500 0.758 Al
0.000 0.000 0.500 In
```

Calculated values
magnetization: 0.0 μB/f.u.
space group: Pmmm, No. 47



Computed values of DFT total energy (unit: eV/atom) for the preceding records, in sequence: -2.34 -1.93 -1.74 -2.89 -2.32 -2.38 -2.73 -2.86.
Computed values of DOS at the Fermi energy (unit: states/eV per atom) for the preceding records, in sequence: 0.215 0.533 0.560 0.335 0.360 0.363 0.391 0.432.